{
  "formula": "Mg2CdIn",
  "functional": "PBEsol",
  "state": "relaxed",
  "dos_ef_per_ev_fu": 1.50,
  "final_energy_ev_per_cell": -7.99,
  "formation_enthalpy_0k_mev_per_atom": -93,
  "cell": [[5.237, -1.607, 0.000], [5.237, 1.607, 0.000], [-0.799, 0.000, 5.209]],
  "species": ["Mg", "Mg", "Cd", "In"],
  "fractional_positions": [[0.000, 0.000, 0.000], [0.246, 0.246, 0.724], [0.500, 0.500, 0.509], [0.750, 0.750, 0.226]]
}